# 1
# Li2MgTaGa2Ir2 (PBE, relaxed)
data_Li2MgTaGa2Ir2
_cell_length_a 4.392
_cell_length_b 4.392
_cell_length_c 6.166
_cell_angle_alpha 90.00
_cell_angle_beta 90.00
_cell_angle_gamma 90.00
_space_group_name_H-M_alt 'P 1'
_space_group_IT_number 1
_space_group_name_Hall 'P 1'
loop_
_atom_site_label
_atom_site_fract_x
_atom_site_fract_y
_atom_site_fract_z
Li1 0.000 0.500 0.234
Li2 0.500 0.000 0.766
Mg1 0.000 0.000 0.000
Ta1 0.500 0.500 0.500
Ga1 0.000 0.000 0.500
Ga2 0.500 0.500 0.000
Ir1 0.000 0.500 0.730
Ir2 0.500 0.000 0.270
# **Symmetry**: P-4m2
# **E**: -5.623 eV per atom



# 2
# Li2Mg2TlGaIr2 (PBE, relaxed)
data_Li2Mg2TlGaIr2
_cell_length_a 4.469
_cell_length_b 4.469
_cell_length_c 6.391
_cell_angle_alpha 90.00
_cell_angle_beta 90.00
_cell_angle_gamma 90.00
_space_group_name_H-M_alt 'P 1'
_space_group_IT_number 1
_space_group_name_Hall 'P 1'
loop_
_atom_site_label
_atom_site_fract_x
_atom_site_fract_y
_atom_site_fract_z
Li1 0.000 0.500 0.234
Li2 0.500 0.000 0.766
Mg1 0.000 0.000 0.000
Mg2 0.500 0.500 0.500
Tl1 0.000 0.000 0.500
Ga1 0.500 0.500 0.000
Ir1 0.000 0.500 0.773
Ir2 0.500 0.000 0.227
# **Symmetry**: P-4m2
# **E**: -4.088 eV per atom



# 3
# Li2MgZn2GaIr2 (PBE, relaxed)
data_Li2MgZn2GaIr2
_cell_length_a 4.320
_cell_length_b 4.320
_cell_length_c 6.128
_cell_angle_alpha 90.00
_cell_angle_beta 90.00
_cell_angle_gamma 90.00
_space_group_name_H-M_alt 'P 1'
_space_group_IT_number 1
_space_group_name_Hall 'P 1'
loop_
_atom_site_label
_atom_site_fract_x
_atom_site_fract_y
_atom_site_fract_z
Li1 0.000 0.500 0.241
Li2 0.500 0.000 0.759
Mg1 0.500 0.500 0.500
Zn1 0.000 0.000 0.500
Zn2 0.500 0.500 0.000
Ga1 0.000 0.000 0.000
Ir1 0.000 0.500 0.764
Ir2 0.500 0.000 0.236
# **Symmetry**: P-4m2
# **E**: -3.998 eV per atom



# 4
# Li2MgZnGa2Ir2 (PBE, relaxed)
data_Li2MgZnGa2Ir2
_cell_length_a 4.315
_cell_length_b 4.315
_cell_length_c 6.106
_cell_angle_alpha 90.00
_cell_angle_beta 90.00
_cell_angle_gamma 90.00
_space_group_name_H-M_alt 'P 1'
_space_group_IT_number 1
_space_group_name_Hall 'P 1'
loop_
_atom_site_label
_atom_site_fract_x
_atom_site_fract_y
_atom_site_fract_z
Li1 0.000 0.500 0.240
Li2 0.500 0.000 0.760
Mg1 0.500 0.500 0.500
Zn1 0.000 0.000 0.000
Ga1 0.000 0.000 0.500
Ga2 0.500 0.500 0.000
Ir1 0.000 0.500 0.758
Ir2 0.500 0.000 0.242
# **Symmetry**: P-4m2
# **E**: -4.271 eV per atom



# 5
# Li2TaNbGa2Ir2 (PBE, relaxed)
data_Li2TaNbGa2Ir2
_cell_length_a 4.346
_cell_length_b 4.346
_cell_length_c 6.145
_cell_angle_alpha 90.00
_cell_angle_beta 90.00
_cell_angle_gamma 90.00
_space_group_name_H-M_alt 'P 1'
_space_group_IT_number 1
_space_group_name_Hall 'P 1'
loop_
_atom_site_label
_atom_site_fract_x
_atom_site_fract_y
_atom_site_fract_z
Li1 0.000 0.500 0.250
Li2 0.500 0.000 0.750
Ta1 0.000 0.000 0.000
Nb1 0.500 0.500 0.500
Ga1 0.000 0.000 0.500
Ga2 0.500 0.500 0.000
Ir1 0.000 0.500 0.751
Ir2 0.500 0.000 0.249
# **Symmetry**: P-4m2
# **E**: -6.773 eV per atom



# 6
# Li2ZrNbGa2Ir2 (PBE, relaxed)
data_Li2ZrNbGa2Ir2
_cell_length_a 4.416
_cell_length_b 4.416
_cell_length_c 6.232
_cell_angle_alpha 90.00
_cell_angle_beta 90.00
_cell_angle_gamma 90.00
_space_group_name_H-M_alt 'P 1'
_space_group_IT_number 1
_space_group_name_Hall 'P 1'
loop_
_atom_site_label
_atom_site_fract_x
_atom_site_fract_y
_atom_site_fract_z
Li1 0.000 0.500 0.244
Li2 0.500 0.000 0.756
Zr1 0.500 0.500 0.500
Nb1 0.000 0.000 0.000
Ga1 0.000 0.000 0.500
Ga2 0.500 0.500 0.000
Ir1 0.000 0.500 0.763
Ir2 0.500 0.000 0.237
# **Symmetry**: P-4m2
# **E**: -6.398 eV per atom